No. 1
An optimized crystal structure of Rb4Mg3SnCl12. Source: Alexandria, functional GGA-PBE.

a = 9.0195 Å, b = 9.0195 Å, c = 9.0195 Å
α = 109.47°, β = 109.47°, γ = 109.47°
Atoms (fractional coordinates):
Rb (0.0000, 0.0000, 0.5000)
Rb (0.0000, 0.5000, 0.0000)
Rb (0.5000, 0.0000, 0.0000)
Rb (0.5000, 0.5000, 0.5000)
Mg (0.0000, 0.5000, 0.5000)
Mg (0.5000, 0.0000, 0.5000)
Mg (0.5000, 0.5000, 0.0000)
Sn (0.0000, 0.0000, 0.0000)
Cl (0.0000, 0.2655, 0.2655)
Cl (0.0000, 0.7345, 0.7345)
Cl (0.2500, 0.5000, 0.7500)
Cl (0.2500, 0.7500, 0.5000)
Cl (0.2655, 0.0000, 0.2655)
Cl (0.2655, 0.2655, 0.0000)
Cl (0.5000, 0.2500, 0.7500)
Cl (0.5000, 0.7500, 0.2500)
Cl (0.7345, 0.0000, 0.7345)
Cl (0.7345, 0.7345, 0.0000)
Cl (0.7500, 0.2500, 0.5000)
Cl (0.7500, 0.5000, 0.2500)

Fermi-level density of states   0.0000 states/eV/atom
Uncorrected formation energy   -35.3 eV/f.u.
Space group   Im-3m (229)
Spin magnetization   0.0 μB per formula unit

=====

No. 2
An optimized crystal structure of Rb2MgSnCl. Source: Alexandria, functional GGA-PBE.

a = 6.1660 Å, b = 6.1660 Å, c = 5.3252 Å
α = 90.00°, β = 90.00°, γ = 90.00°
Atoms (fractional coordinates):
Rb (0.0000, 0.5000, 0.0000)
Rb (0.5000, 0.0000, 0.0000)
Mg (0.0000, 0.0000, 0.5000)
Sn (0.5000, 0.5000, 0.5000)
Cl (0.0000, 0.0000, 0.0000)

Fermi-level density of states   0.7843 states/eV/atom
Uncorrected formation energy   -1.8 eV/f.u.
Space group   P4/mmm (123)
Spin magnetization   0.0 μB per formula unit

=====

No. 3
An optimized crystal structure of Rb2SrMgCl6. Source: Alexandria, functional GGA-PBE.

a = 7.5837 Å, b = 7.5837 Å, c = 7.5837 Å
α = 60.00°, β = 60.00°, γ = 60.00°
Atoms (fractional coordinates):
Rb (0.2500, 0.2500, 0.2500)
Rb (0.7500, 0.7500, 0.7500)
Sr (0.0000, 0.0000, 0.0000)
Mg (0.5000, 0.5000, 0.5000)
Cl (0.2651, 0.2651, 0.7349)
Cl (0.2651, 0.7349, 0.2651)
Cl (0.2651, 0.7349, 0.7349)
Cl (0.7349, 0.2651, 0.2651)
Cl (0.7349, 0.2651, 0.7349)
Cl (0.7349, 0.7349, 0.2651)

Fermi-level density of states   0.0000 states/eV/atom
Uncorrected formation energy   -20.8 eV/f.u.
Space group   Fm-3m (225)
Spin magnetization   0.0 μB per formula unit

=====

No. 4
An optimized crystal structure of RbTbMg2Cl8. Source: Alexandria, functional GGA-PBE.

a = 6.5614 Å, b = 6.6130 Å, c = 9.1671 Å
α = 76.01°, β = 77.26°, γ = 75.94°
Atoms (fractional coordinates):
Rb (0.0000, 0.0000, 0.0000)
Tb (0.0000, 0.0000, 0.5000)
Mg (0.4594, 0.4506, 0.2096)
Mg (0.5406, 0.5494, 0.7904)
Cl (0.1874, 0.7262, 0.7248)
Cl (0.2391, 0.7779, 0.2914)
Cl (0.2868, 0.2395, 0.4456)
Cl (0.3647, 0.3119, 0.0196)
Cl (0.6353, 0.6881, 0.9804)
Cl (0.7132, 0.7605, 0.5544)
Cl (0.7609, 0.2221, 0.7086)
Cl (0.8126, 0.2738, 0.2752)

Fermi-level density of states   0.0000 states/eV/atom
Uncorrected formation energy   -23.7 eV/f.u.
Space group   P-1 (2)
Spin magnetization   0.0 μB per formula unit

=====

No. 5
An optimized crystal structure of Rb2TbMgCl6. Source: Alexandria, functional GGA-PBE.

a = 7.4219 Å, b = 7.4219 Å, c = 7.2737 Å
α = 119.27°, β = 119.27°, γ = 61.44°
Atoms (fractional coordinates):
Rb (0.2479, 0.2479, 0.2480)
Rb (0.7521, 0.7521, 0.7520)
Tb (0.0000, 0.0000, 0.5000)
Mg (0.5000, 0.5000, 0.0000)
Cl (0.2597, 0.2597, 0.7600)
Cl (0.2632, 0.7366, 0.2441)
Cl (0.2634, 0.7368, 0.7559)
Cl (0.7366, 0.2632, 0.2441)
Cl (0.7368, 0.2634, 0.7559)
Cl (0.7403, 0.7403, 0.2400)

Fermi-level density of states   0.5042 states/eV/atom
Uncorrected formation energy   -18.5 eV/f.u.
Space group   C2/m (12)
Spin magnetization   1.0 μB per formula unit

=====

No. 6
An optimized crystal structure of RbTbMgCl6. Source: Alexandria, functional GGA-PBE.

a = 6.8149 Å, b = 6.8149 Å, c = 14.6182 Å
α = 90.00°, β = 90.00°, γ = 120.00°
Atoms (fractional coordinates):
Rb (0.0000, 0.0000, 0.0000)
Rb (0.0000, 0.0000, 0.5000)
Tb (0.3333, 0.6667, 0.2500)
Tb (0.6667, 0.3333, 0.7500)
Mg (0.3333, 0.6667, 0.7500)
Mg (0.6667, 0.3333, 0.2500)
Cl (0.0143, 0.3830, 0.6486)
Cl (0.0143, 0.6313, 0.8514)
Cl (0.3687, 0.3830, 0.8514)
Cl (0.3687, 0.9857, 0.6486)
Cl (0.3830, 0.0143, 0.1486)
Cl (0.3830, 0.3687, 0.3514)
Cl (0.6170, 0.6313, 0.6486)
Cl (0.6170, 0.9857, 0.8514)
Cl (0.6313, 0.0143, 0.3514)
Cl (0.6313, 0.6170, 0.1486)
Cl (0.9857, 0.3687, 0.1486)
Cl (0.9857, 0.6170, 0.3514)

Fermi-level density of states   0.0000 states/eV/atom
Uncorrected formation energy   -19.0 eV/f.u.
Space group   P-31c (163)
Spin magnetization   0.0 μB per formula unit

=====

No. 7
An optimized crystal structure of Rb2MgTiCl6. Source: Alexandria, functional GGA-PBE.

a = 12.6987 Å, b = 12.6987 Å, c = 12.6987 Å
α = 33.04°, β = 33.04°, γ = 33.04°
Atoms (fractional coordinates):
Rb (0.1241, 0.1241, 0.1241)
Rb (0.2912, 0.2912, 0.2912)
Rb (0.7088, 0.7088, 0.7088)
Rb (0.8759, 0.8759, 0.8759)
Mg (0.0000, 0.0000, 0.0000)
Mg (0.5000, 0.5000, 0.5000)
Ti (0.4131, 0.4131, 0.4131)
Ti (0.5869, 0.5869, 0.5869)
Cl (0.1397, 0.6157, 0.6157)
Cl (0.2052, 0.2052, 0.7108)
Cl (0.2052, 0.7108, 0.2052)
Cl (0.2892, 0.7948, 0.7948)
Cl (0.3843, 0.3843, 0.8603)
Cl (0.3843, 0.8603, 0.3843)
Cl (0.6157, 0.1397, 0.6157)
Cl (0.6157, 0.6157, 0.1397)
Cl (0.7108, 0.2052, 0.2052)
Cl (0.7948, 0.2892, 0.7948)
Cl (0.7948, 0.7948, 0.2892)
Cl (0.8603, 0.3843, 0.3843)

Fermi-level density of states   0.8292 states/eV/atom
Uncorrected formation energy   -17.5 eV/f.u.
Space group   R-3m (166)
Spin magnetization   2.0 μB per formula unit

=====

No. 8
An optimized crystal structure of RbMgTlCl6. Source: Alexandria, functional GGA-PBE.

a = 6.7374 Å, b = 6.7374 Å, c = 7.3424 Å
α = 90.00°, β = 90.00°, γ = 120.00°
Atoms (fractional coordinates):
Rb (0.0000, 0.0000, 0.0000)
Mg (0.3333, 0.6667, 0.5000)
Tl (0.6667, 0.3333, 0.5000)
Cl (0.0119, 0.3818, 0.7024)
Cl (0.0119, 0.6301, 0.2976)
Cl (0.3699, 0.3818, 0.2976)
Cl (0.3699, 0.9881, 0.7024)
Cl (0.6182, 0.6301, 0.7024)
Cl (0.6182, 0.9881, 0.2976)

Fermi-level density of states   0.0000 states/eV/atom
Uncorrected formation energy   -12.5 eV/f.u.
Space group   P312 (149)
Spin magnetization   0.0 μB per formula unit